[1]
Crystalline NaCaAlF6 at its relaxed geometry, computed with PBE.

Properties
Offset from the most stable computed form, meV/atom: 10
Raw formation energy, meV per atom: -3542
Energy, Ha/atom: -0.205
Crystal system: monoclinic
Spin magnetization, Bohr magnetons per cell: 0.50

a = 5.2552 Å, b = 8.8589 Å, c = 20.5667 Å
α = 91.85°, β = 90.00°, γ = 90.00°
With the nearest neighbours (Å) after each atom.
Fractional positions:
1 Ca 0.2589 0.3628 0.1886  7 F 2.22-2.46
2 Al 0.3105 0.7438 0.9282  6 F 1.79-1.84
3 Na 0.2392 0.0230 0.3182  5 F 2.24-2.50
4 F 0.7824 0.0823 0.0323  1 Al 1.79
5 Ca 0.1874 0.3663 0.9359  7 F 2.27-2.52
6 F 0.9608 0.7455 0.2306  1 Al 1.82
7 Ca 0.2411 0.3628 0.6886  7 F 2.22-2.46
8 Al 0.2475 0.7438 0.1805  6 F 1.78-1.87
9 F 0.5200 0.7578 0.1267  1 Al 1.82
10 F 0.3633 0.9043 0.2257  1 Al 1.78
11 F 0.3680 0.6238 0.4834  1 Al 1.84
12 Ca 0.7589 0.6372 0.3114  7 F 2.22-2.46
13 F 0.4908 0.1603 0.1316  1 Al 1.84
14 Ca 0.8126 0.6337 0.0641  7 F 2.27-2.52
15 F 0.2824 0.9177 0.4677  1 Al 1.79
16 F 0.8680 0.3762 0.0166  1 Al 1.84
17 Al 0.7525 0.2562 0.8195  6 F 1.78-1.87
18 Na 0.7061 0.9581 0.4371  6 F 2.22-2.47
19 F 0.5970 0.4335 0.1142  1 Al 1.84
20 F 0.4649 0.7643 0.3737  1 Al 1.84
21 Na 0.7608 0.9770 0.6818  5 F 2.24-2.50
22 F 0.6367 0.0957 0.7743  1 Al 1.78
23 F 0.4030 0.5665 0.8858  1 Al 1.84
24 F 0.6220 0.4284 0.3633  1 Al 1.87
25 F 0.5351 0.2357 0.6263  1 Al 1.84
26 F 0.0970 0.5665 0.3858  1 Al 1.84
27 F 0.2176 0.9177 0.9677  1 Al 1.79
28 F 0.9100 0.3932 0.2663  1 Al 1.87
29 Na 0.2061 0.0419 0.0629  6 F 2.22-2.47
30 F 0.6320 0.3762 0.5166  1 Al 1.84
31 F 0.1367 0.9043 0.7257  1 Al 1.78
32 F 0.9060 0.7342 0.4808  1 Al 1.84
33 F 0.9908 0.8397 0.3684  1 Al 1.84
34 F 0.8633 0.0957 0.2743  1 Al 1.78
35 Al 0.6895 0.2562 0.0718  6 F 1.79-1.84
36 F 0.4060 0.2658 0.0192  1 Al 1.84
37 F 0.5092 0.8397 0.8684  1 Al 1.84
38 Al 0.1895 0.7438 0.4282  6 F 1.79-1.84
39 F 0.5900 0.3932 0.7663  1 Al 1.87
40 Na 0.2608 0.0230 0.8182  5 F 2.24-2.50
41 F 0.4100 0.6068 0.2337  1 Al 1.87
42 F 0.5392 0.7455 0.7306  1 Al 1.82
43 Ca 0.7411 0.6372 0.8114  7 F 2.22-2.46
44 F 0.9460 0.1534 0.8800  1 Al 1.87
45 Na 0.2939 0.0419 0.5629  6 F 2.22-2.47
46 Na 0.7939 0.9581 0.9371  6 F 2.22-2.47
47 F 0.3780 0.5716 0.6367  1 Al 1.87
48 F 0.9649 0.2357 0.1263  1 Al 1.84
49 F 0.0351 0.7643 0.8737  1 Al 1.84
50 F 0.5940 0.7342 0.9808  1 Al 1.84
51 F 0.9030 0.4335 0.6142  1 Al 1.84
52 F 0.0092 0.1603 0.6316  1 Al 1.84
53 Na 0.7392 0.9770 0.1818  5 F 2.24-2.50
54 Al 0.7475 0.2562 0.3195  6 F 1.78-1.87
55 F 0.9800 0.7578 0.6267  1 Al 1.82
56 F 0.1220 0.5716 0.1367  1 Al 1.87
57 F 0.1320 0.6238 0.9834  1 Al 1.84
58 Ca 0.6874 0.6337 0.5641  7 F 2.27-2.52
59 Al 0.2525 0.7438 0.6805  6 F 1.78-1.87
60 F 0.0940 0.2658 0.5192  1 Al 1.84
61 F 0.4800 0.2422 0.8733  1 Al 1.82
62 Al 0.8105 0.2562 0.5718  6 F 1.79-1.84
63 F 0.7176 0.0823 0.5323  1 Al 1.79
64 F 0.0200 0.2422 0.3733  1 Al 1.82
65 F 0.0900 0.6068 0.7337  1 Al 1.87
66 F 0.0540 0.8466 0.1200  1 Al 1.87
67 F 0.4608 0.2545 0.2694  1 Al 1.82
68 F 0.0392 0.2545 0.7694  1 Al 1.82
69 Ca 0.3126 0.3663 0.4359  7 F 2.27-2.52
70 F 0.5540 0.1534 0.3800  1 Al 1.87
71 F 0.4460 0.8466 0.6200  1 Al 1.87
72 F 0.8780 0.4284 0.8633  1 Al 1.87



[2]
Crystalline NaCaAlF6 at its relaxed geometry, computed with PBE.

Properties
Offset from the most stable computed form, meV/atom: 0
Raw formation energy, meV per atom: -3552
Energy, Ha/atom: -0.205
Crystal system: trigonal
Spin magnetization, Bohr magnetons per cell: 0.00

a = 9.0628 Å, b = 9.0628 Å, c = 5.1074 Å
α = 90.00°, β = 90.00°, γ = 120.00°
With the nearest neighbours (Å) after each atom.
Fractional positions:
1 F 0.4764 0.2229 0.2949  1 Al 1.84
2 Al 0.3333 0.6667 0.4971  6 F 1.84
3 Ca 0.6294 0.6294 0.0000  6 F 2.28-2.34
4 F 0.2229 0.4764 0.7051  1 Al 1.84
5 F 0.1934 0.0850 0.7996  1 Al 1.83
6 Al 0.0000 0.0000 0.0000  6 F 1.83
7 Al 0.6667 0.3333 0.5029  6 F 1.84
8 F 0.4449 0.8566 0.2885  1 Al 1.84
9 F 0.4116 0.5551 0.2885  1 Al 1.84
10 Ca 0.3706 0.0000 0.0000  6 F 2.28-2.34
11 F 0.8916 0.8066 0.7996  1 Al 1.83
12 F 0.1434 0.5884 0.2885  1 Al 1.84
13 Ca 0.0000 0.3706 0.0000  6 F 2.28-2.34
14 Na 0.0000 0.7116 0.5000  6 F 2.21-2.36
15 F 0.7465 0.5236 0.2948  1 Al 1.84
16 Na 0.7116 0.0000 0.5000  6 F 2.21-2.36
17 F 0.7771 0.2535 0.2949  1 Al 1.84
18 F 0.9150 0.1084 0.7996  1 Al 1.83
19 F 0.1084 0.9150 0.2004  1 Al 1.83
20 F 0.2535 0.7771 0.7051  1 Al 1.84
21 F 0.8566 0.4449 0.7115  1 Al 1.84
22 Na 0.2884 0.2884 0.5000  6 F 2.21-2.36
23 F 0.0850 0.1934 0.2004  1 Al 1.83
24 F 0.5884 0.1434 0.7115  1 Al 1.84
25 F 0.5551 0.4116 0.7115  1 Al 1.84
26 F 0.5236 0.7465 0.7052  1 Al 1.84
27 F 0.8066 0.8916 0.2004  1 Al 1.83



[3]
Crystalline Na2Ca3Al2F14 at its relaxed geometry, computed with PBE.

Properties
Raw formation energy, meV per atom: -3600
Energy, Ha/atom: -0.206
Crystal system: cubic
Spin magnetization, Bohr magnetons per cell: 0.00

a = 8.9721 Å, b = 8.9721 Å, c = 8.9721 Å
α = 109.47°, β = 109.47°, γ = 109.47°
With the nearest neighbours (Å) after each atom.
Fractional positions:
1 Ca 0.4658 0.7158 0.7500  8 F 2.34-2.51
2 F 0.7286 0.6774 0.1765  1 Al 1.81
3 F 0.5771 0.5771 0.5771  1 Na 2.22, 3 Ca 2.35
4 F 0.4454 0.5187 0.1868  1 Al 1.85
5 Al 0.0000 0.4965 0.5000  6 F 1.81-1.85
6 Ca 0.0342 0.7842 0.2500  8 F 2.34-2.51
7 F 0.9813 0.4267 0.6682  1 Al 1.85
8 F 0.3235 0.0009 0.5521  1 Al 1.81
9 F 0.5000 0.0000 0.9229  1 Na 2.22, 3 Ca 2.35
10 F 0.5187 0.1868 0.4454  1 Al 1.85
11 Al 0.0035 0.0035 0.0035  6 F 1.81-1.85
12 F 0.7714 0.9479 0.9488  1 Al 1.81
13 F 0.4991 0.8226 0.5512  1 Al 1.81
14 F 0.0546 0.2415 0.0733  1 Al 1.85
15 F 0.1765 0.7286 0.6774  1 Al 1.81
16 F 0.2585 0.3132 0.8318  1 Al 1.85
17 Ca 0.7842 0.2500 0.0342  8 F 2.34-2.51
18 F 0.9479 0.9488 0.7714  1 Al 1.81
19 Ca 0.2500 0.0342 0.7842  8 F 2.34-2.51
20 Ca 0.7500 0.4658 0.7158  8 F 2.34-2.51
21 F 0.2415 0.0733 0.0546  1 Al 1.85
22 F 0.0009 0.5521 0.3235  1 Al 1.81
23 F 0.9488 0.7714 0.9479  1 Al 1.81
24 F 0.5521 0.3235 0.0009  1 Al 1.81
25 F 0.8318 0.2585 0.3132  1 Al 1.85
26 F 0.6774 0.1765 0.7286  1 Al 1.81
27 F 0.3132 0.8318 0.2585  1 Al 1.85
28 F 0.0000 0.9229 0.5000  1 Na 2.22, 3 Ca 2.35
29 F 0.0733 0.0546 0.2415  1 Al 1.85
30 Al 0.5000 0.0000 0.4965  6 F 1.81-1.85
31 F 0.9229 0.5000 0.0000  1 Na 2.22, 3 Ca 2.35
32 Na 0.0000 0.1706 0.5000  4 F 2.22-2.39
33 Ca 0.7158 0.7500 0.4658  8 F 2.34-2.51
34 F 0.8226 0.5512 0.4991  1 Al 1.81
35 F 0.1868 0.4454 0.5187  1 Al 1.85
36 Na 0.1706 0.5000 0.0000  4 F 2.22-2.39
37 F 0.6682 0.9813 0.4267  1 Al 1.85
38 Na 0.5000 0.0000 0.1706  4 F 2.22-2.39
39 Na 0.3294 0.3294 0.3294  4 F 2.22-2.39
40 F 0.5512 0.4991 0.8226  1 Al 1.81
41 F 0.4267 0.6682 0.9813  1 Al 1.85
42 Al 0.4965 0.5000 0.0000  6 F 1.81-1.85



[4]
Crystalline NaCaAlOF6 at its relaxed geometry, computed with PBE.

Properties
Raw formation energy, meV per atom: -3111
Energy, Ha/atom: -0.200
Crystal system: monoclinic
Spin magnetization, Bohr magnetons per cell: 4.00

a = 5.7132 Å, b = 5.6226 Å, c = 16.4850 Å
α = 87.66°, β = 90.00°, γ = 90.00°
With the nearest neighbours (Å) after each atom.
Fractional positions:
1 Al 0.2195 0.7290 0.8636  6 F 1.81-1.87
2 F 0.3230 0.7304 0.4721  1 Al 1.81
3 Ca 0.2633 0.7581 0.1105  6 F 2.21-2.45
4 F 0.2397 0.7050 0.7512  1 Al 1.87
5 F 0.5535 0.5468 0.6391  1 Al 1.82
6 F 0.9035 0.9993 0.6520  1 Al 1.86
7 F 0.7397 0.2950 0.7488  1 Al 1.87
8 F 0.4553 0.0834 0.6525  1 Al 1.85
9 O 0.4286 0.0823 0.0028  1 O 1.24
10 F 0.5447 0.9166 0.3475  1 Al 1.85
11 F 0.6770 0.2696 0.5279  1 Al 1.81
12 F 0.4947 0.5584 0.8725  1 Al 1.84
13 F 0.5053 0.4416 0.1275  1 Al 1.84
14 F 0.4465 0.4532 0.3609  1 Al 1.82
15 F 0.9947 0.4416 0.6275  1 Al 1.84
16 Na 0.8120 0.7589 0.2518  6 F 2.38-2.63
17 Ca 0.2367 0.7581 0.6105  6 F 2.21-2.45
18 O 0.0714 0.0823 0.5028  1 O 1.24
19 Al 0.7805 0.2710 0.1364  6 F 1.81-1.87
20 F 0.1770 0.7304 0.9721  1 Al 1.81
21 F 0.9465 0.5468 0.1391  1 Al 1.82
22 F 0.0535 0.4532 0.8609  1 Al 1.82
23 Ca 0.7367 0.2419 0.8895  6 F 2.21-2.45
24 Na 0.3120 0.2411 0.2482  6 F 2.38-2.63
25 Ca 0.7633 0.2419 0.3895  6 F 2.21-2.45
26 O 0.5714 0.9177 0.9972  1 O 1.24
27 Al 0.2805 0.7290 0.3636  6 F 1.81-1.87
28 Al 0.7195 0.2710 0.6364  6 F 1.81-1.87
29 F 0.5965 0.9993 0.1520  1 Al 1.86
30 Na 0.6880 0.7589 0.7518  6 F 2.38-2.63
31 F 0.0053 0.5584 0.3725  1 Al 1.84
32 F 0.4035 0.0007 0.8480  1 Al 1.86
33 F 0.0965 0.0007 0.3480  1 Al 1.86
34 F 0.7603 0.2950 0.2488  1 Al 1.87
35 Na 0.1880 0.2411 0.7482  6 F 2.38-2.63
36 O 0.9286 0.9177 0.4972  1 O 1.24
37 F 0.0447 0.0834 0.1525  1 Al 1.85
38 F 0.9553 0.9166 0.8475  1 Al 1.85
39 F 0.2603 0.7050 0.2512  1 Al 1.87
40 F 0.8230 0.2696 0.0279  1 Al 1.81



[5]
Crystalline CaNbAlF2 at its relaxed geometry, computed with PBE.

Properties
Raw formation energy, meV per atom: -1202
Energy, Ha/atom: -0.188
Crystal system: tetragonal
Spin magnetization, Bohr magnetons per cell: 0.28

a = 4.2872 Å, b = 4.2872 Å, c = 5.4035 Å
α = 90.00°, β = 90.00°, γ = 90.00°
With the nearest neighbours (Å) after each atom.
Fractional positions:
1 F 0.0000 0.5000 0.0000  2 Nb 2.14
2 Nb 0.0000 0.0000 0.0000  4 F 2.14
3 Al 0.0000 0.0000 0.5000  2 Nb 2.70
4 Ca 0.5000 0.5000 0.5000  4 Al 3.03
5 F 0.5000 0.0000 0.0000  2 Nb 2.14



[6]
Crystalline CaAlO2F at its relaxed geometry, computed with PBE.

Properties
Raw formation energy, meV per atom: -3118
Energy, Ha/atom: -0.243
Crystal system: tetragonal
Spin magnetization, Bohr magnetons per cell: 0.00

a = 3.7629 Å, b = 3.7629 Å, c = 3.7290 Å
α = 90.00°, β = 90.00°, γ = 90.00°
With the nearest neighbours (Å) after each atom.
Fractional positions:
1 Al 0.0000 0.0000 0.0000  2 F 1.86, 4 O 1.88
2 Ca 0.5000 0.5000 0.5000  8 O 2.65, 4 F 2.66
3 O 0.0000 0.5000 0.0000  2 Al 1.88
4 F 0.0000 0.0000 0.5000  2 Al 1.86
5 O 0.5000 0.0000 0.0000  2 Al 1.88